(1)
YAlI2O | PBE | relaxed

a = 6.2486 Å, b = 6.2486 Å, c = 4.2073 Å
α = 90.00°, β = 90.00°, γ = 90.00°
Last column: nearest neighbours and their distance in Å.
Fractional coordinates of all 5 atoms:
I: 0.0000 0.5000 0.0000  2 Y 3.12
I: 0.5000 0.0000 0.0000  2 Y 3.12
Y: 0.0000 0.0000 0.0000  2 O 2.10
Al: 0.5000 0.5000 0.5000  8 I 3.77, 2 Al 4.21
O: 0.0000 0.0000 0.5000  2 Y 2.10

Formation energy from raw total energies in eV/f.u.: -5.83

=====

(2)
AlCdPb2 | PBE | relaxed

a = 5.3378 Å, b = 5.3378 Å, c = 5.3378 Å
α = 60.00°, β = 60.00°, γ = 60.00°
Last column: nearest neighbours and their distance in Å.
Fractional coordinates of all 4 atoms:
Pb: 0.0000 0.0000 0.0000  4 Pb 3.27, 4 Cd 3.27
Pb: 0.2500 0.2500 0.2500  4 Al 3.27, 4 Pb 3.27
Al: 0.5000 0.5000 0.5000  4 Pb 3.27, 4 Cd 3.27
Cd: 0.7500 0.7500 0.7500  4 Pb 3.27, 4 Al 3.27

ΔH_f (0 K) in eV/f.u.: 0.8

=====

(3)
Au2CO | PBE | relaxed

a = 4.1374 Å, b = 4.1374 Å, c = 4.1374 Å
α = 60.00°, β = 60.00°, γ = 60.00°
Last column: nearest neighbours and their distance in Å.
Fractional coordinates of all 4 atoms:
C: 0.0000 0.0000 0.0000  8 Au 2.53
Au: 0.2500 0.2500 0.2500  4 O 2.53, 4 C 2.53
Au: 0.7500 0.7500 0.7500  4 C 2.53, 4 O 2.53
O: 0.5000 0.5000 0.5000  8 Au 2.53

Formation energy from raw total energies in eV/f.u.: 5.76

=====

(4)
CeNd3Sm8 | PBE | relaxed

a = 8.4488 Å, b = 8.4488 Å, c = 8.4488 Å
α = 94.64°, β = 117.36°, γ = 117.36°
Last column: nearest neighbours and their distance in Å.
Fractional coordinates of all 12 atoms:
Ce: 0.0000 0.0000 0.0000  8 Sm 2.94-3.14
Nd: 0.5000 0.7500 0.2500  4 Sm 3.49
Nd: 0.5000 0.2500 0.7500  4 Sm 3.49
Nd: 0.0000 0.5000 0.5000  8 Sm 3.29-3.34
Sm: 0.4723 0.2143 0.2143  1 Ce 2.94, 1 Sm 3.25, 1 Nd 3.29
Sm: 0.5277 0.7420 0.7420  1 Ce 2.94, 1 Sm 3.25, 1 Nd 3.29
Sm: 0.0000 0.7857 0.2580  1 Ce 2.94, 1 Sm 3.25, 1 Nd 3.29
Sm: 0.0000 0.2580 0.7857  1 Ce 2.94, 1 Sm 3.25, 1 Nd 3.29
Sm: 0.2448 0.3623 0.3623  3 Sm 3.04-3.31, 1 Ce 3.14, 1 Nd 3.34
Sm: 0.7552 0.1175 0.1175  3 Sm 3.04-3.31, 1 Ce 3.14, 1 Nd 3.34
Sm: 0.0000 0.6377 0.8825  3 Sm 3.04-3.31, 1 Ce 3.14, 1 Nd 3.34
Sm: 0.0000 0.8825 0.6377  3 Sm 3.04-3.31, 1 Ce 3.14, 1 Nd 3.34

ΔH_f (0 K) in eV/f.u.: 6.5